Here is a PBEsol-optimized structure of Ti2RePt from Alexandria via LeMat-Bulk. Energies are from SCAN.

Cell and atoms, written as POSCAR:
```
Ti2RePt
1.0
6.191 0.000 0.000
0.000 6.191 0.000
0.000 0.000 6.191
Ti Re Pt
8 4 4
Direct
0.250 0.250 0.250
0.250 0.250 0.750
0.250 0.750 0.250
0.250 0.750 0.750
0.750 0.250 0.250
0.750 0.250 0.750
0.750 0.750 0.250
0.750 0.750 0.750
0.000 0.000 0.000
0.000 0.500 0.500
0.500 0.000 0.500
0.500 0.500 0.000
0.000 0.000 0.500
0.000 0.500 0.000
0.500 0.000 0.000
0.500 0.500 0.500
```

ΔE to the lowest computed polymorph (meV/atom): 49.5
ΔE_f (meV per atom): -878

Here is a PBEsol-optimized structure of Ti2RePt from Alexandria via LeMat-Bulk. Energies are from SCAN.

Cell and atoms, written as POSCAR:
```
Ti2RePt
1.0
3.141 0.000 0.000
0.000 3.141 0.000
0.000 0.000 6.049
Ti Re Pt
2 1 1
Direct
0.000 0.000 0.242
0.000 0.000 0.758
0.500 0.500 0.000
0.500 0.500 0.500
```

ΔE to the lowest computed polymorph (meV/atom): 0.0
ΔE_f (meV per atom): -927

Here is a PBEsol-optimized structure of Tl2RePt from Alexandria via LeMat-Bulk. Energies are from SCAN.

Cell and atoms, written as POSCAR:
```
Tl2RePt
1.0
3.017 0.000 0.000
0.000 4.665 0.000
0.000 0.000 5.286
Tl Re Pt
2 1 1
Direct
0.000 0.000 0.000
0.500 0.000 0.500
0.000 0.500 0.500
0.500 0.500 0.000
```

ΔE to the lowest computed polymorph (meV/atom): 214.4
ΔE_f (meV per atom): 877

Here is a PBEsol-optimized structure of TlRe2Pt from Alexandria via LeMat-Bulk. Energies are from SCAN.

Cell and atoms, written as POSCAR:
```
TlRe2Pt
1.0
2.787 0.000 0.000
0.000 2.787 0.000
0.000 0.000 8.338
Tl Re Pt
1 2 1
Direct
0.000 0.000 0.000
0.500 0.500 0.270
0.500 0.500 0.730
0.000 0.000 0.500
```

ΔE to the lowest computed polymorph (meV/atom): 110.4
ΔE_f (meV per atom): 797

Number 1: final energy -707.45 eV/cell. Number 2: final energy -177.06 eV/cell. Number 3: final energy -282.50 eV/cell. Number 4: final energy -281.56 eV/cell.